Entry 1:
Compound: Y2ZrOs
Source: Alexandria
Functional: PBEsol
Structure: optimized geometry

Calculated values
- formation enthalpy at 0 K (eV/atom) = -0.163
- DOS(E_F) (states/eV/f.u.) = 3.6
- V (Å³/cell) = 184

Unit cell a=3.4583 b=5.1027 c=10.4340 alpha=90.00 beta=90.00 gamma=90.00
Space group Imm2 (No. 44)
One atom of each set of equivalent atoms:
Y: 0.0000 0.0000 0.0000 x2
Y: 0.0000 0.5000 0.2078 x2
Zr: 0.0000 0.0000 0.4088 x2
Os: 0.0000 0.5000 0.7213 x2

Entry 2:
Compound: Zn4Os
Source: Alexandria
Functional: PBEsol
Structure: optimized geometry

Calculated values
- formation enthalpy at 0 K (eV/atom) = 0.066
- DOS(E_F) (states/eV/f.u.) = 1.0
- V (Å³/cell) = 135

Unit cell a=6.2533 b=6.2533 c=3.4593 alpha=90.00 beta=90.00 gamma=90.00
Space group I4/m (No. 87)
One atom of each set of equivalent atoms:
Zn: 0.1068 0.7011 0.0000 x8
Os: 0.0000 0.0000 0.5000 x2

Entry 3:
Compound: ZrZn2Os
Source: Alexandria
Functional: PBEsol
Structure: optimized geometry

Calculated values
- formation enthalpy at 0 K (eV/atom) = -0.052
- DOS(E_F) (states/eV/f.u.) = 2.3
- V (Å³/cell) = 62

Unit cell a=2.7123 b=4.3700 c=5.4111 alpha=90.00 beta=104.45 gamma=90.00
Space group P2/m (No. 10)
One atom of each set of equivalent atoms:
Zr: 0.0000 0.0000 0.0000 x1
Zn: 0.4125 0.5000 0.7291 x2
Os: 0.0000 0.0000 0.5000 x1

Entry 4:
Compound: ZrZn2Os
Source: Alexandria
Functional: PBEsol
Structure: optimized geometry

Calculated values
- formation enthalpy at 0 K (eV/atom) = -0.187
- DOS(E_F) (states/eV/f.u.) = 2.0
- V (Å³/cell) = 122

Unit cell a=3.9264 b=3.9264 c=7.9304 alpha=90.00 beta=90.00 gamma=90.00
Space group I4/mmm (No. 139)
One atom of each set of equivalent atoms:
Zr: 0.0000 0.0000 0.0000 x2
Zn: 0.0000 0.5000 0.2500 x4
Os: 0.0000 0.0000 0.5000 x2

Q: Look up the DOS(E_F) of the second one.
A: 1.0 states/eV/f.u.